Record 1
Compound: Nd3Si8Rh3
Source: the Alexandria database
Functional: PBE-GGA
Structure: relaxed

Results
The total magnetic moment is 0.00 μB per formula unit. Its energy above the lowest structure with this stoichiometry is 0 meV/atom. Its space-group type is No. 12. As for the uncorrected formation energy: -0.6797 eV per atom. Its total energy is -89.3 eV per cell.

Geometry as extended XYZ:
```
14
Lattice="-0.162 -0.021 4.179 6.892 2.962 2.374 -0.001 8.413 2.135" Properties=species:S:1:pos:R:3 pbc="T T T"
Si 3.881 2.989 2.258
Si 1.049 5.714 2.162
Si 6.653 9.234 6.581
Si 5.680 5.641 6.526
Si 4.567 4.419 4.384
Si 0.076 2.121 2.106
Si 2.848 8.366 6.430
Si 2.162 6.935 4.304
Rh 2.351 1.099 2.189
Rh 3.284 5.667 6.433
Rh 4.378 10.256 6.498
Nd 1.554 3.640 4.264
Nd 5.174 7.715 4.424
Nd 0.000 0.000 0.000
```

---

Record 2
Compound: Nd2SiRh
Source: the Alexandria database
Functional: PBE-GGA
Structure: relaxed

Results
The total magnetic moment is 0.00 μB per formula unit. Its space-group type is No. 38. As for the uncorrected formation energy: -0.7461 eV per atom. Its total energy is -25.3 eV per cell.

Geometry as extended XYZ:
```
4
Lattice="-2.781 -0.755 -2.980 3.180 -0.199 -2.917 -1.109 -5.158 2.342" Properties=species:S:1:pos:R:3 pbc="T T T"
Nd 2.058 -5.211 -0.599
Nd -1.132 -3.197 -1.016
Si 1.773 -2.104 -1.122
Rh 0.252 -1.048 -2.852
```

---

Record 3
Compound: Nd3Si4Rh2
Source: the Alexandria database
Functional: PBE-GGA
Structure: relaxed

Results
The total magnetic moment is 0.00 μB per formula unit. Its energy above the lowest structure with this stoichiometry is 0 meV/atom. Its space-group type is No. 12. As for the uncorrected formation energy: -0.8910 eV per atom. Its total energy is -58.7 eV per cell.

Geometry as extended XYZ:
```
9
Lattice="-1.738 -0.492 3.734 5.983 -0.766 0.379 -1.611 8.080 0.314" Properties=species:S:1:pos:R:3 pbc="T T T"
Rh 0.555 2.257 2.859
Rh 2.079 4.565 1.569
Nd -0.864 5.113 2.575
Nd 0.000 0.000 0.000
Nd 3.498 1.709 1.853
Si 1.284 -0.098 2.888
Si 1.350 6.920 1.540
Si 0.469 2.997 0.613
Si 2.164 3.825 3.814
```